<A>
VASP calculation (PBE-GGA) on LiCd2Ag8 after structural relaxation.

Properties
**Space group**: No. 12

Cell: 4.102 6.768 7.810 Å, 106.71 105.22 90.00°
Sites, in units of the cell vectors:
Li1 0.500 0.000 0.000
Cd1 0.225 0.643 0.451
Cd2 0.775 0.357 0.549
Ag1 0.589 0.449 0.177
Ag2 0.321 0.088 0.642
Ag3 0.131 0.176 0.262
Ag4 0.044 0.730 0.088
Ag5 0.869 0.824 0.738
Ag6 0.679 0.912 0.358
Ag7 0.411 0.551 0.823
Ag8 0.956 0.270 0.912

=====

<B>
VASP calculation (PBE-GGA) on LiCd2Ag8 after structural relaxation.

Properties
**Space group**: No. 12

Cell: 5.088 7.652 7.585 Å, 59.71 73.82 56.47°
Sites, in units of the cell vectors:
Li1 0.500 0.000 0.000
Cd1 0.000 0.306 0.388
Cd2 0.000 0.694 0.612
Ag1 0.868 0.100 0.226
Ag2 0.868 0.326 0.774
Ag3 0.316 0.407 0.000
Ag4 0.500 0.796 0.408
Ag5 0.500 0.204 0.592
Ag6 0.684 0.593 0.000
Ag7 0.132 0.674 0.226
Ag8 0.132 0.900 0.774

=====

Preferred: <A>; penalty for the next structure: 100 meV per atom.

=====

<A>
VASP calculation (PBE-GGA) on Li2Cd6Ag3 after structural relaxation.

Properties
**Space group**: No. 139

Cell: 4.026 4.026 14.933 Å, 97.75 97.75 90.00°
Sites, in units of the cell vectors:
Li1 0.458 0.458 0.917
Li2 0.542 0.542 0.083
Cd1 0.111 0.611 0.222
Cd2 0.611 0.111 0.222
Cd3 0.889 0.389 0.778
Cd4 0.389 0.889 0.778
Cd5 0.715 0.715 0.430
Cd6 0.285 0.285 0.570
Ag1 0.000 0.000 0.000
Ag2 0.813 0.813 0.625
Ag3 0.187 0.187 0.375

=====

<B>
VASP calculation (PBE-GGA) on Li2Cd6Ag3 after structural relaxation.

Properties
**Space group**: No. 2

Cell: 4.239 9.107 13.869 Å, 32.85 81.12 103.30°
Sites, in units of the cell vectors:
Li1 0.280 0.647 0.085
Li2 0.720 0.353 0.915
Cd1 0.455 0.730 0.817
Cd2 0.883 0.423 0.653
Cd3 0.545 0.270 0.183
Cd4 0.117 0.577 0.347
Cd5 0.616 0.792 0.563
Cd6 0.384 0.208 0.437
Ag1 0.000 0.000 0.000
Ag2 0.835 0.928 0.261
Ag3 0.165 0.072 0.739

=====

Preferred: <B>; penalty for the next structure: 195 meV per atom.

=====

<A>
VASP calculation (PBE-GGA) on Li2Cd8Ag3 after structural relaxation.

Properties
**Space group**: No. 12

Cell: 5.582 8.003 7.377 Å, 122.85 96.82 90.00°
Sites, in units of the cell vectors:
Li1 0.288 0.194 0.387
Li2 0.712 0.806 0.613
Cd1 0.889 0.598 0.196
Cd2 0.111 0.402 0.804
Cd3 0.805 0.196 0.391
Cd4 0.195 0.804 0.609
Cd5 0.564 0.566 0.754
Cd6 0.564 0.189 0.754
Cd7 0.436 0.811 0.246
Cd8 0.436 0.434 0.246
Ag1 0.500 0.000 0.000
Ag2 0.000 0.174 0.000
Ag3 0.000 0.826 0.000

=====

<B>
VASP calculation (PBE-GGA) on Li2Cd8Ag3 after structural relaxation.

Properties
**Space group**: No. 12

Cell: 5.066 7.468 7.468 Å, 82.65 75.41 75.41°
Sites, in units of the cell vectors:
Li1 0.359 0.298 0.298
Li2 0.641 0.702 0.702
Cd1 0.204 0.568 0.568
Cd2 0.796 0.432 0.432
Cd3 0.922 0.153 0.153
Cd4 0.078 0.847 0.847
Cd5 0.640 0.599 0.086
Cd6 0.640 0.086 0.599
Cd7 0.360 0.914 0.401
Cd8 0.360 0.401 0.914
Ag1 0.500 0.000 0.000
Ag2 0.000 0.247 0.753
Ag3 0.000 0.753 0.247

=====

Preferred: <B>; penalty for the next structure: 7 meV per atom.